(1)
A relaxed RbTlCu2Cl4 crystal. Source: the Alexandria database, functional GGA-PBE.

It has space group I222 (No. 23), with a = 7.568 Å, b = 7.804 Å, c = 8.188 Å, α = 90.00°, β = 90.00° and γ = 90.00°. The distinct sites, in fractional coordinates, are Rb at (0.000, 0.000, 0.000), Tl at (0.000, 0.000, 0.500), Cu at (0.000, 0.500, 0.181) and Cl at (0.200, 0.311, 0.789).

As for the uncorrected formation energy: -973.4 meV per atom. The energy is -0.2453 Ry per atom.



(2)
A relaxed Rb3TlCu2Cl8 crystal. Source: the Alexandria database, functional GGA-PBE.

It has space group P-3m1 (No. 164), with a = 7.4022 Å, b = 7.4022 Å, c = 9.3350 Å, α = 90.00°, β = 90.00° and γ = 120.00°. The distinct sites, in fractional coordinates, are Rb at (0.0000, 0.0000, 0.0000), Rb at (0.3333, 0.6667, 0.6316), Tl at (0.0000, 0.0000, 0.5000), Cu at (0.3333, 0.6667, 0.2026), Cl at (0.1726, 0.3452, 0.3185) and Cl at (0.3333, 0.6667, 0.9696).

As for the uncorrected formation energy: -1199.3 meV per atom. The energy is -0.2364 Ry per atom.



(3)
A relaxed RbTl2CuCl5 crystal. Source: the Alexandria database, functional GGA-PBE.

It has space group I4/mcm (No. 140), with a = 8.565 Å, b = 8.565 Å, c = 14.561 Å, α = 90.00°, β = 90.00° and γ = 90.00°. The distinct sites, in fractional coordinates, are Rb at (0.000, 0.000, 0.250), Tl at (0.171, 0.329, 0.000), Cu at (0.000, 0.500, 0.250), Cl at (0.000, 0.000, 0.000) and Cl at (0.143, 0.357, 0.351).

As for the uncorrected formation energy: -1052.5 meV per atom. The energy is -0.2328 Ry per atom.



(4)
A relaxed Rb2TlCu2Cl7 crystal. Source: the Alexandria database, functional GGA-PBE.

It has space group C2/m (No. 12), with a = 6.988 Å, b = 6.987 Å, c = 13.270 Å, α = 90.00°, β = 105.10° and γ = 90.00°. The distinct sites, in fractional coordinates, are Rb at (0.178, 0.000, 0.361), Tl at (0.000, 0.000, 0.000), Cu at (0.093, 0.500, 0.188), Cl at (0.000, 0.500, 0.000), Cl at (0.160, 0.250, 0.818) and Cl at (0.185, 0.500, 0.376).

As for the uncorrected formation energy: -1070.7 meV per atom. The energy is -0.2344 Ry per atom.



(5)
A relaxed RbTlCuCl6 crystal. Source: the Alexandria database, functional GGA-PBE.

It has space group P1 (No. 1), with a = 6.545 Å, b = 6.550 Å, c = 7.274 Å, α = 94.33°, β = 94.45° and γ = 112.33°. The distinct sites, in fractional coordinates, are Rb at (0.000, 0.000, 0.000), Tl at (0.646, 0.353, 0.500), Cu at (0.296, 0.702, 0.500), Cl at (0.333, 0.029, 0.667), Cl at (0.335, 0.441, 0.294), Cl at (0.558, 0.663, 0.707), Cl at (0.595, 0.045, 0.251), Cl at (0.956, 0.404, 0.749) and Cl at (0.969, 0.667, 0.334).

As for the uncorrected formation energy: -912.8 meV per atom. The energy is -0.2182 Ry per atom.



(6)
A relaxed Rb3Tl3CuCl8 crystal. Source: the Alexandria database, functional GGA-PBE.

It has space group C2/m (No. 12), with a = 15.674 Å, b = 9.195 Å, c = 9.130 Å, α = 90.00°, β = 124.84° and γ = 90.00°. The distinct sites, in fractional coordinates, are Rb at (0.000, 0.000, 0.000), Rb at (0.250, 0.250, 0.500), Tl at (0.000, 0.500, 0.500), Tl at (0.250, 0.250, 0.000), Cu at (0.000, 0.500, 0.000), Cl at (0.002, 0.295, 0.793), Cl at (0.179, 0.500, 0.177) and Cl at (0.249, 0.500, 0.752).

As for the uncorrected formation energy: -1245.6 meV per atom. The energy is -0.2330 Ry per atom.



Question: The lowest energy belongs to which entry?
Answer: RbTlCu2Cl4



Question: The highest energy belongs to which entry?
Answer: RbTlCuCl6



Question: Among the records above, which one has the lowest uncorrected formation energy?
Answer: Rb3Tl3CuCl8